[1]
DFT (GGA-PBE) results for Sc2FeH after structural relaxation.

Results
- DFT total energy (eV per atom) = -5.931
- offset from the most stable computed form (eV/atom) = 0.218

Geometry as POSCAR:
```
Sc2FeH
1.0
1.970 0.000 7.082
-0.985 1.706 7.082
-0.985 -1.706 7.082
Fe H Sc
1 1 2
Cartesian
0.000 0.000 10.623
0.000 0.000 0.000
0.000 0.000 19.287
0.000 0.000 1.959
```

[2]
DFT (GGA-PBE) results for Sc2FeH after structural relaxation.

Results
- DFT total energy (eV per atom) = -5.892
- offset from the most stable computed form (eV/atom) = 0.257

Geometry as POSCAR:
```
Sc2FeH
1.0
1.750 0.000 7.674
-0.875 1.515 7.674
-0.875 -1.515 7.674
Sc H Fe
2 1 1
Cartesian
0.000 0.000 20.490
0.000 0.000 2.531
0.000 0.000 11.510
0.000 0.000 0.000
```

[3]
DFT (GGA-PBE) results for ScFeH4 after structural relaxation.

Results
- DFT total energy (eV per atom) = -4.978
- offset from the most stable computed form (eV/atom) = 0.031

Geometry as POSCAR:
```
ScFeH4
1.0
-0.965 1.782 -2.772
-3.288 0.932 0.338
2.235 6.621 3.479
Sc H Fe
2 8 2
Cartesian
-3.288 0.932 0.338
-2.170 4.243 2.078
-0.574 2.977 -0.917
-1.767 2.541 0.678
0.629 7.252 2.452
-1.443 6.359 1.963
-0.253 6.795 0.367
-1.749 4.745 -0.009
-2.647 2.084 -1.407
-0.269 4.591 1.054
0.208 5.903 1.769
-2.226 3.433 -0.724
```

[4]
DFT (GGA-PBE) results for Sc3Fe5H12 after structural relaxation.

Results
- DFT total energy (eV per atom) = -5.301

Geometry as POSCAR:
```
Sc3Fe5H12
1.0
-3.032 -4.052 7.722
3.663 -6.373 -5.585
6.423 6.278 2.137
H Sc Fe
48 12 20
Cartesian
3.699 -5.675 3.559
-0.466 -1.456 5.007
1.644 -0.144 0.135
1.491 -0.378 7.931
1.422 -2.559 6.139
1.975 -1.512 2.257
1.042 -9.006 1.388
3.169 -3.680 1.955
4.140 -5.377 0.458
7.187 -1.449 1.024
5.633 -1.589 -1.866
3.857 -5.451 -4.224
2.454 -0.317 5.278
0.895 -3.683 0.811
3.885 -0.467 2.319
5.488 1.467 4.212
0.279 -6.593 4.561
5.080 -2.636 2.016
5.970 1.355 1.768
4.601 -3.831 -1.005
6.055 -4.343 0.534
-1.481 -3.374 4.821
3.440 -2.012 3.789
1.000 0.196 3.740
2.369 -4.540 -2.004
5.564 -3.769 -3.658
3.198 1.304 8.497
5.310 -0.333 -0.115
6.656 0.327 -1.696
1.713 -2.606 -1.247
2.915 1.230 3.815
6.013 4.859 2.885
0.399 -4.474 5.969
1.567 -5.615 0.061
8.536 -0.773 -0.548
4.293 3.190 2.321
5.342 -1.542 5.520
4.686 0.392 6.277
1.745 -3.814 4.389
3.356 1.528 0.715
1.085 -5.503 2.505
5.411 -4.003 4.138
7.521 -2.692 -0.734
3.615 -2.136 0.484
2.762 -7.337 1.952
6.160 -0.464 3.462
-0.132 -2.699 3.250
6.776 2.445 -0.288
-0.589 -2.772 6.593
6.157 3.393 1.438
1.430 -1.771 4.231
0.898 -7.540 2.835
5.625 -2.376 0.042
2.758 -3.933 -0.061
4.946 -4.692 2.240
7.644 -1.375 -2.319
4.296 -0.214 4.334
-0.097 -4.644 3.964
7.152 0.497 0.309
2.109 0.545 2.033
2.424 -4.668 3.102
3.805 1.658 6.963
4.630 0.521 1.171
3.212 3.139 1.068
0.316 -5.212 1.068
0.000 0.000 0.000
5.043 -0.048 -1.724
0.582 -2.328 1.766
4.139 2.392 3.800
3.527 -2.074 2.137
-1.516 -2.026 3.861
6.473 -1.819 2.507
2.916 -6.540 0.473
2.278 -1.215 6.696
2.601 -1.327 -0.595
4.777 -2.932 -2.422
3.250 -5.805 -2.689
1.832 -3.187 -2.793
4.454 -2.820 4.868
1.696 1.113 4.929
```

[5]
DFT (GGA-PBE) results for ScFeH4 after structural relaxation.

Results
- DFT total energy (eV per atom) = -5.009
- offset from the most stable computed form (eV/atom) = 0.000

Geometry as POSCAR:
```
ScFeH4
1.0
5.047 -0.957 0.000
-2.462 5.044 0.000
-1.293 -2.044 4.043
Sc Fe H
2 2 8
Cartesian
1.262 -0.239 2.945
0.031 2.283 1.098
1.262 -0.239 0.369
0.031 2.283 3.673
-0.181 0.090 1.069
2.940 -1.285 3.382
2.705 -0.568 1.069
1.474 1.954 2.973
1.709 1.237 0.661
-0.416 0.806 3.382
-1.412 2.612 2.973
-1.647 3.329 0.661
```

[6]
DFT (GGA-PBE) results for Sc2FeH after structural relaxation.

Results
- DFT total energy (eV per atom) = -5.920
- offset from the most stable computed form (eV/atom) = 0.230

Geometry as POSCAR:
```
Sc2FeH
1.0
0.000 3.061 3.061
3.061 0.000 3.061
3.061 3.061 0.000
Sc H Fe
2 1 1
Cartesian
1.530 1.530 1.530
4.591 4.591 4.591
0.000 0.000 0.000
3.061 3.061 3.061
```

[7]
DFT (GGA-PBE) results for ScFe3H6 after structural relaxation.

Results
- DFT total energy (eV per atom) = -5.336

Geometry as POSCAR:
```
ScFe3H6
1.0
3.924 0.000 -2.103
-2.526 3.666 0.000
0.082 0.057 4.866
Fe H Sc
3 6 1
Cartesian
0.647 0.446 1.207
1.801 1.241 3.362
-0.306 2.492 -0.571
0.232 1.623 2.868
2.904 0.348 -0.412
-1.097 2.590 0.904
1.028 1.719 0.087
-1.023 3.305 2.919
2.321 1.533 1.781
0.894 3.319 1.668
```

[8]
DFT (GGA-PBE) results for Sc2FeH8 after structural relaxation.

Results
- DFT total energy (eV per atom) = -4.680

Geometry as POSCAR:
```
Sc2FeH8
1.0
3.189 0.000 0.000
0.000 3.905 -0.103
-1.595 -1.785 6.136
Sc H Fe
2 8 1
Cartesian
1.595 0.121 4.309
0.000 1.999 1.724
1.595 2.039 3.119
0.000 0.081 2.915
0.000 -0.913 4.808
1.595 3.033 1.226
1.595 0.943 1.280
0.000 0.822 -0.021
1.595 1.298 6.055
0.000 1.177 4.754
1.595 0.000 0.000
```